AcCuPb PBE optimized geometry; energy = -0.3186 Ry/atom; energy above the most stable polymorph in this dataset = 3 kJ/mol of formula units; crystal system = cubic
1.0
-0.896 3.871 -3.010
2.087 0.174 -4.524
-2.816 -0.606 -4.069
Cu Pb Ac
1 1 1
direct
0.250 0.250 0.250 Cu
0.500 0.500 0.500 Pb
0.000 0.000 0.000 Ac

---

Ca2InRh PBE optimized geometry; energy = -0.2784 Ry/atom; crystal system = tetragonal
1.0
5.359 0.000 0.000
1.304 5.198 0.000
-3.332 -2.599 3.297
Ca Rh In
2 1 1
direct
0.000 0.000 0.000 Ca
0.250 0.750 0.500 Ca
0.750 0.250 0.500 Rh
0.500 0.500 0.000 In

---

Number 1: total moment 0.00 μB per formula unit, calculated formation energy -0.364 eV/atom. Number 2: total moment 0.00 μB per formula unit, calculated formation energy -0.265 eV/atom.